# 1
## BeInW2 (PBE)

Data for crystalline BeInW2 at its relaxed geometry.

total DFT energy (no corrections) = -7.54 eV/atom
DFT formation energy = 0.558 eV per atom

Lattice parameters (Å, degrees): 2.779 2.779 8.244 90.00 90.00 90.00
Space group P4mm (No. 99)
Inequivalent atoms, fractional coordinates:
Be: 0.000 0.000 0.000 x1
In: 0.500 0.500 0.250 x1
W: 0.000 0.000 0.533 x1
W: 0.500 0.500 0.801 x1

# 2
## Dy2YAg (PBE)

Data for crystalline Dy2YAg at its relaxed geometry.

total DFT energy (no corrections) = -4.64 eV/atom
DFT formation energy = -0.011 eV per atom

Lattice parameters (Å, degrees): 3.5962 3.5962 31.0358 90.00 90.00 120.00
Space group R3m (No. 160, hexagonal axes)
Inequivalent atoms, fractional coordinates:
Dy: 0.0000 0.0000 0.0000 x3
Dy: 0.0000 0.0000 0.1842 x3
Y: 0.0000 0.0000 0.7588 x3
Ag: 0.0000 0.0000 0.5920 x3

# 3
## La2Pm6Sm3Dy (PBE)

Data for crystalline La2Pm6Sm3Dy at its relaxed geometry.

total DFT energy (no corrections) = -4.74 eV/atom
DFT formation energy = 0.017 eV per atom

Lattice parameters (Å, degrees): 6.332 10.966 12.130 90.00 100.10 90.00
Space group C2/m (No. 12)
Inequivalent atoms, fractional coordinates:
La: 0.000 0.167 0.000 x4
Pm: 0.248 0.500 0.748 x4
Pm: 0.250 0.166 0.748 x8
Sm: 0.000 0.000 0.500 x2
Sm: 0.000 0.334 0.500 x4
Dy: 0.000 0.500 0.000 x2

# 4
## In6CuAu12 (PBE)

Data for crystalline In6CuAu12 at its relaxed geometry.

total DFT energy (no corrections) = -3.26 eV/atom
DFT formation energy = -0.107 eV per atom

Lattice parameters (Å, degrees): 11.9564 11.9564 9.5839 90.00 90.00 120.00
Space group R-3 (No. 148, hexagonal axes)
Inequivalent atoms, fractional coordinates:
In: 0.0333 0.4461 0.2847 x18
Cu: 0.0000 0.0000 0.5000 x3
Au: 0.0544 0.2072 0.3380 x18
Au: 0.0549 0.1646 0.8789 x18

# 5
## Hf2Ge2Sb (PBE)

Data for crystalline Hf2Ge2Sb at its relaxed geometry.

uncorrected formation energy = -217.5 meV/atom
total DFT energy (no corrections) = -6.87 eV/atom

Lattice parameters (Å, degrees): 7.388 7.388 3.681 90.00 90.00 90.00
Space group P4/mbm (No. 127)
Inequivalent atoms, fractional coordinates:
Hf: 0.178 0.322 0.000 x4
Ge: 0.123 0.623 0.500 x4
Sb: 0.000 0.000 0.500 x2

# 6
## Ac2IrRh (PBE)

Data for crystalline Ac2IrRh at its relaxed geometry.

total DFT energy (no corrections) = -6.74 eV/atom
DFT formation energy = -0.631 eV per atom

Lattice parameters (Å, degrees): 4.381 4.136 11.621 90.00 90.00 90.00
Space group Amm2 (No. 38)
Inequivalent atoms, fractional coordinates:
Ac: 0.000 0.000 0.000 x2
Ac: 0.500 0.000 0.277 x2
Ir: 0.000 0.000 0.719 x2
Rh: 0.500 0.000 0.555 x2

# 7
## DySi2AgO6 (PBE)

Data for crystalline DySi2AgO6 at its relaxed geometry.

uncorrected formation energy = -2518.3 meV/atom
total DFT energy (no corrections) = -7.32 eV/atom

Lattice parameters (Å, degrees): 7.711 11.752 7.023 90.00 90.18 90.00
Space group C2/c (No. 15)
Inequivalent atoms, fractional coordinates:
Dy: 0.000 0.156 0.250 x4
Si: 0.161 0.118 0.751 x8
Ag: 0.000 0.474 0.750 x4
O: 0.000 0.133 0.581 x8
O: 0.199 0.284 0.249 x8
O: 0.221 0.014 0.251 x8

# 8
## Li3Mo (PBE)

Data for crystalline Li3Mo at its relaxed geometry.

total DFT energy (no corrections) = -3.74 eV/atom
DFT formation energy = 0.401 eV per atom

Lattice parameters (Å, degrees): 5.655 9.210 2.440 90.00 90.00 90.00
Space group Cmmm (No. 65)
Inequivalent atoms, fractional coordinates:
Li: 0.000 0.000 0.000 x2
Li: 0.250 0.250 0.500 x4
Mo: 0.000 0.500 0.000 x2

# 9
## Pm6Si2I3Cl (PBE)

Data for crystalline Pm6Si2I3Cl at its relaxed geometry.

uncorrected formation energy = -1017.6 meV/atom
total DFT energy (no corrections) = -4.84 eV/atom

Lattice parameters (Å, degrees): 7.369 12.777 8.002 90.00 107.90 90.00
Space group C2/m (No. 12)
Inequivalent atoms, fractional coordinates:
Pm: 0.223 0.000 0.193 x4
Pm: 0.236 0.329 0.194 x8
Si: 0.000 0.166 0.000 x4
I: 0.000 0.000 0.500 x2
I: 0.000 0.332 0.500 x4
Cl: 0.000 0.500 0.000 x2

# 10
## NbOs2PdPt (PBE)

Data for crystalline NbOs2PdPt at its relaxed geometry.

total DFT energy (no corrections) = -6.62 eV/atom
DFT formation energy = 2.130 eV per atom

Lattice parameters (Å, degrees): 4.665 4.665 4.663 90.00 90.00 90.00
Space group P4/mmm (No. 123)
Inequivalent atoms, fractional coordinates:
Nb: 0.000 0.000 0.000 x1
Os: 0.000 0.500 0.500 x2
Pd: 0.000 0.000 0.500 x1
Pt: 0.500 0.500 0.000 x1

# 11
## SrLiAuSe2 (PBE)

Data for crystalline SrLiAuSe2 at its relaxed geometry.

uncorrected formation energy = -1199.0 meV/atom
total DFT energy (no corrections) = -3.97 eV/atom

Lattice parameters (Å, degrees): 7.153 4.830 7.790 90.00 105.28 90.00
Space group P2/c (No. 13)
Inequivalent atoms, fractional coordinates:
Sr: 0.000 0.177 0.250 x2
Li: 0.500 0.475 0.750 x2
Au: 0.500 0.000 0.000 x2
Se: 0.229 0.320 0.974 x4

# 12
## LaMg3Ag3 (PBE)

Data for crystalline LaMg3Ag3 at its relaxed geometry.

total DFT energy (no corrections) = -2.42 eV/atom
DFT formation energy = 0.190 eV per atom

Lattice parameters (Å, degrees): 7.257 7.257 7.257 90.00 90.00 90.00
Space group Pm-3n (No. 223)
Inequivalent atoms, fractional coordinates:
La: 0.000 0.000 0.000 x2
Mg: 0.000 0.250 0.500 x6
Ag: 0.000 0.500 0.250 x6

# 13
## Ca3TiRu (PBE)

Data for crystalline Ca3TiRu at its relaxed geometry.

total DFT energy (no corrections) = -3.18 eV/atom
DFT formation energy = 1.456 eV per atom

Lattice parameters (Å, degrees): 5.499 5.499 5.499 90.00 90.00 90.00
Space group Pm-3m (No. 221)
Inequivalent atoms, fractional coordinates:
Ca: 0.000 0.000 0.500 x3
Ti: 0.000 0.000 0.000 x1
Ru: 0.500 0.500 0.500 x1

# 14
## Hf7Tl2H2 (PBE)

Data for crystalline Hf7Tl2H2 at its relaxed geometry.

total DFT energy (no corrections) = -7.41 eV/atom

Lattice parameters (Å, degrees): 7.739 8.988 6.067 90.00 97.47 90.00
Space group C2/m (No. 12)
Inequivalent atoms, fractional coordinates:
Hf: 0.000 0.000 0.000 x2
Hf: 0.165 0.330 0.171 x8
Hf: 0.166 0.500 0.672 x4
Tl: 0.000 0.165 0.500 x4
H: 0.249 0.500 0.014 x4

# 15
## PmTh2PaC4 (PBE)

Data for crystalline PmTh2PaC4 at its relaxed geometry.

total DFT energy (no corrections) = -8.49 eV/atom
DFT formation energy = -0.243 eV per atom

Lattice parameters (Å, degrees): 6.438 3.725 6.441 90.00 109.40 90.00
Space group P2/m (No. 10)
Inequivalent atoms, fractional coordinates:
Pm: 0.000 0.000 0.000 x1
Th: 0.000 0.500 0.500 x1
Th: 0.500 0.000 0.500 x1
Pa: 0.500 0.500 0.000 x1
C: 0.267 0.500 0.245 x2
C: 0.268 0.000 0.763 x2

# 16
## LiTlW2 (PBE)

Data for crystalline LiTlW2 at its relaxed geometry.

total DFT energy (no corrections) = -6.89 eV/atom
DFT formation energy = 0.659 eV per atom

Lattice parameters (Å, degrees): 9.279 2.766 5.462 90.00 93.90 90.00
Space group Cm (No. 8)
Inequivalent atoms, fractional coordinates:
Li: 0.000 0.000 0.000 x2
Tl: 0.248 0.000 0.785 x2
W: 0.008 0.500 0.472 x2
W: 0.256 0.500 0.274 x2

# 17
## BeHS2N (PBE)

Data for crystalline BeHS2N at its relaxed geometry.

total DFT energy (no corrections) = -3.28 eV/atom

Lattice parameters (Å, degrees): 3.303 3.303 6.444 90.00 90.00 90.00
Space group P4/mmm (No. 123)
Inequivalent atoms, fractional coordinates:
Be: 0.000 0.000 0.000 x1
H: 0.500 0.500 0.500 x1
S: 0.000 0.500 0.500 x2
N: 0.500 0.500 0.000 x1

# 18
## YNp2ScSb4 (PBE)

Data for crystalline YNp2ScSb4 at its relaxed geometry.

uncorrected formation energy = -609.0 meV/atom
total DFT energy (no corrections) = -7.50 eV/atom

Lattice parameters (Å, degrees): 7.500 4.333 7.543 90.00 109.37 90.00
Space group P2/m (No. 10)
Inequivalent atoms, fractional coordinates:
Y: 0.000 0.000 0.000 x1
Np: 0.000 0.500 0.500 x1
Np: 0.500 0.000 0.500 x1
Sc: 0.500 0.500 0.000 x1
Sb: 0.255 0.500 0.245 x2
Sb: 0.261 0.000 0.760 x2

# 19
## SiTe2 (PBE)

Data for crystalline SiTe2 at its relaxed geometry.

uncorrected formation energy = 200.0 meV/atom
total DFT energy (no corrections) = -3.70 eV/atom

Lattice parameters (Å, degrees): 6.836 6.836 6.836 90.00 90.00 90.00
Space group Pa-3 (No. 205)
Inequivalent atoms, fractional coordinates:
Si: 0.000 0.000 0.000 x4
Te: 0.137 0.637 0.863 x8

# 20
## GdInNiPt (PBE)

Data for crystalline GdInNiPt at its relaxed geometry.

total DFT energy (no corrections) = -7.77 eV/atom
DFT formation energy = -0.607 eV per atom

Lattice parameters (Å, degrees): 6.724 6.724 6.724 90.00 90.00 90.00
Space group F-43m (No. 216)
Inequivalent atoms, fractional coordinates:
Gd: 0.000 0.000 0.000 x4
In: 0.000 0.000 0.500 x4
Ni: 0.250 0.250 0.250 x4
Pt: 0.250 0.250 0.750 x4

# 21
## LaNdPb (PBE)

Data for crystalline LaNdPb at its relaxed geometry.

total DFT energy (no corrections) = -4.93 eV/atom
DFT formation energy = -0.465 eV per atom

Lattice parameters (Å, degrees): 6.744 6.744 9.021 90.00 90.07 90.00
Space group C2/m (No. 12)
Inequivalent atoms, fractional coordinates:
La: 0.249 0.000 0.152 x4
Nd: 0.000 0.250 0.500 x4
Pb: 0.249 0.500 0.222 x4

# 22
## Cs2NaTl3Cl6 (PBE)

Data for crystalline Cs2NaTl3Cl6 at its relaxed geometry.

uncorrected formation energy = -1439.2 meV/atom
total DFT energy (no corrections) = -3.21 eV/atom

Lattice parameters (Å, degrees): 8.127 14.230 7.945 90.00 110.24 90.00
Space group C2/m (No. 12)
Inequivalent atoms, fractional coordinates:
Cs: 0.000 0.169 0.000 x4
Na: 0.000 0.500 0.000 x2
Tl: 0.000 0.000 0.500 x2
Tl: 0.000 0.341 0.500 x4
Cl: 0.219 0.500 0.741 x4
Cl: 0.223 0.359 0.240 x8

# 23
## Cd2CoP (PBE)

Data for crystalline Cd2CoP at its relaxed geometry.

total DFT energy (no corrections) = -3.16 eV/atom
DFT formation energy = 0.428 eV per atom

Lattice parameters (Å, degrees): 5.519 8.304 2.993 90.00 90.00 90.00
Space group Cmmm (No. 65)
Inequivalent atoms, fractional coordinates:
Cd: 0.250 0.250 0.000 x4
Co: 0.000 0.000 0.500 x2
P: 0.000 0.500 0.500 x2

# 24
## HfZn2Pt2 (PBE)

Data for crystalline HfZn2Pt2 at its relaxed geometry.

total DFT energy (no corrections) = -5.60 eV/atom
DFT formation energy = -0.679 eV per atom

Lattice parameters (Å, degrees): 3.565 3.565 13.349 90.00 90.00 90.00
Space group I4/mmm (No. 139)
Inequivalent atoms, fractional coordinates:
Hf: 0.000 0.000 0.000 x2
Zn: 0.000 0.500 0.250 x4
Pt: 0.000 0.000 0.399 x4